[1]
The following is a GGA-PBE calculation of an optimized crystal structure of Sr2PmP3Rh12, from Alexandria.

Structure (CIF):
```
data_Sr2PmP3Rh12
_space_group_name_H-M_alt 'R -3 m'
_space_group_IT_number 166
_space_group_name_Hall '-R 3 2"'
_cell_length_a 9.0958
_cell_length_b 9.0958
_cell_length_c 12.8037
_cell_angle_alpha 90.00
_cell_angle_beta 90.00
_cell_angle_gamma 120.00
loop_
_atom_site_label
_atom_site_type_symbol
_atom_site_fract_x
_atom_site_fract_y
_atom_site_fract_z
_atom_site_occupancy
Sr1 Sr 0.0000 0.0000 0.1169 1
Pm1 Pm 0.0000 0.0000 0.5000 1
P1 P 0.0000 0.5000 0.0000 1
Rh1 Rh 0.0097 0.5049 0.8264 1
Rh2 Rh 0.0410 0.5205 0.3816 1
```

**Formation enthalpy at 0 K**: -0.156 eV/atom
**VASP energy**: -6.41 eV/atom
**N(E_F)**: 1.047 states/eV per atom
**Crystal system**: trigonal

***

[2]
The following is a GGA-PBE calculation of an optimized crystal structure of Tb2Dy3Al, from Alexandria.

Structure (CIF):
```
data_Tb2Dy3Al
_space_group_name_H-M_alt 'C m m m'
_space_group_IT_number 65
_space_group_name_Hall '-C 2 2'
_cell_length_a 4.796
_cell_length_b 14.892
_cell_length_c 4.824
_cell_angle_alpha 90.00
_cell_angle_beta 90.00
_cell_angle_gamma 90.00
loop_
_atom_site_label
_atom_site_type_symbol
_atom_site_fract_x
_atom_site_fract_y
_atom_site_fract_z
_atom_site_occupancy
Tb1 Tb 0.000 0.159 0.000 1
Dy1 Dy 0.000 0.000 0.500 1
Dy2 Dy 0.000 0.336 0.500 1
Al1 Al 0.000 0.500 0.000 1
```

**Formation enthalpy at 0 K**: -0.092 eV/atom
**VASP energy**: -4.56 eV/atom
**N(E_F)**: 1.244 states/eV per atom
**Crystal system**: orthorhombic

***

[3]
The following is a GGA-PBE calculation of an optimized crystal structure of Cs2UGeSe4, from Alexandria.

Structure (CIF):
```
data_Cs2UGeSe4
_space_group_name_H-M_alt 'F d d d'
_space_group_IT_number 70
_cell_length_a 6.007
_cell_length_b 16.060
_cell_length_c 27.670
_cell_angle_alpha 90.00
_cell_angle_beta 90.00
_cell_angle_gamma 90.00
loop_
_space_group_symop_operation_xyz
'x,y,z'
'-x,-y,-z'
'-x+1/4,-y+1/4,z'
'x+1/4,y+1/4,-z'
'x,-y+1/4,-z+1/4'
'-x,y+1/4,z+1/4'
'-x+1/4,y,-z+1/4'
'x+1/4,-y,z+1/4'
'x,y+1/2,z+1/2'
'-x,-y+1/2,-z+1/2'
'-x+1/4,-y+3/4,z+1/2'
'x+1/4,y+3/4,-z+1/2'
'x,-y+3/4,-z+3/4'
'-x,y+3/4,z+3/4'
'-x+1/4,y+1/2,-z+3/4'
'x+1/4,-y+1/2,z+3/4'
'x+1/2,y,z+1/2'
'-x+1/2,-y,-z+1/2'
'-x+3/4,-y+1/4,z+1/2'
'x+3/4,y+1/4,-z+1/2'
'x+1/2,-y+1/4,-z+3/4'
'-x+1/2,y+1/4,z+3/4'
'-x+3/4,y,-z+3/4'
'x+3/4,-y,z+3/4'
'x+1/2,y+1/2,z'
'-x+1/2,-y+1/2,-z'
'-x+3/4,-y+3/4,z'
'x+3/4,y+3/4,-z'
'x+1/2,-y+3/4,-z+1/4'
'-x+1/2,y+3/4,z+1/4'
'-x+3/4,y+1/2,-z+1/4'
'x+3/4,-y+1/2,z+1/4'
loop_
_atom_site_label
_atom_site_type_symbol
_atom_site_fract_x
_atom_site_fract_y
_atom_site_fract_z
_atom_site_occupancy
Cs1 Cs 0.125 0.125 0.301 1
U1 U 0.125 0.125 0.125 1
Ge1 Ge 0.125 0.125 0.625 1
Se1 Se 0.120 0.272 0.431 1
```

**E_form (uncorrected)**: -0.826 eV per atom
**VASP energy**: -4.77 eV/atom
**N(E_F)**: 0.748 states/eV per atom
**Crystal system**: orthorhombic

***

[4]
The following is a GGA-PBE calculation of an optimized crystal structure of NaCaCd2, from Alexandria.

Structure (CIF):
```
data_NaCaCd2
_space_group_name_H-M_alt 'R -3 m'
_space_group_IT_number 166
_space_group_name_Hall '-R 3 2"'
_cell_length_a 3.5274
_cell_length_b 3.5274
_cell_length_c 34.7718
_cell_angle_alpha 90.00
_cell_angle_beta 90.00
_cell_angle_gamma 120.00
loop_
_atom_site_label
_atom_site_type_symbol
_atom_site_fract_x
_atom_site_fract_y
_atom_site_fract_z
_atom_site_occupancy
Na1 Na 0.0000 0.0000 0.0000 1
Ca1 Ca 0.0000 0.0000 0.5000 1
Cd1 Cd 0.0000 0.0000 0.4077 1
```

**Offset from the most stable computed form**: 0.318 eV per atom
**Formation enthalpy at 0 K**: 0.126 eV/atom
**VASP energy**: -1.16 eV/atom
**N(E_F)**: 0.784 states/eV per atom
**Crystal system**: trigonal

***

[5]
The following is a GGA-PBE calculation of an optimized crystal structure of RbHf2SnRu, from Alexandria.

Structure (CIF):
```
data_RbHf2SnRu
_space_group_name_H-M_alt 'P 4/m m m'
_space_group_IT_number 123
_space_group_name_Hall '-P 4 2'
_cell_length_a 5.210
_cell_length_b 5.210
_cell_length_c 4.770
_cell_angle_alpha 90.00
_cell_angle_beta 90.00
_cell_angle_gamma 90.00
loop_
_atom_site_label
_atom_site_type_symbol
_atom_site_fract_x
_atom_site_fract_y
_atom_site_fract_z
_atom_site_occupancy
Rb1 Rb 0.000 0.000 0.000 1
Hf1 Hf 0.000 0.500 0.000 1
Sn1 Sn 0.500 0.500 0.500 1
Ru1 Ru 0.000 0.000 0.500 1
```

**Formation enthalpy at 0 K**: 2.215 eV/atom
**VASP energy**: -4.62 eV/atom
**N(E_F)**: 1.338 states/eV per atom
**Crystal system**: tetragonal

***

[6]
The following is a GGA-PBE calculation of an optimized crystal structure of Pu3Si2Rh, from Alexandria.

Structure (CIF):
```
data_Pu3Si2Rh
_space_group_name_H-M_alt 'P n m a'
_space_group_IT_number 62
_cell_length_a 11.862
_cell_length_b 4.574
_cell_length_c 8.831
_cell_angle_alpha 90.00
_cell_angle_beta 90.00
_cell_angle_gamma 90.00
loop_
_space_group_symop_operation_xyz
'x,y,z'
'-x,-y,-z'
'-x+1/2,-y,z+1/2'
'x+1/2,y,-z+1/2'
'x+1/2,-y+1/2,-z+1/2'
'-x+1/2,y+1/2,z+1/2'
'-x,y+1/2,-z'
'x,-y+1/2,z'
loop_
_atom_site_label
_atom_site_type_symbol
_atom_site_fract_x
_atom_site_fract_y
_atom_site_fract_z
_atom_site_occupancy
Pu1 Pu 0.047 0.250 0.096 1
Pu2 Pu 0.155 0.750 0.607 1
Pu3 Pu 0.250 0.250 0.777 1
Si1 Si 0.003 0.750 0.326 1
Si2 Si 0.194 0.750 0.962 1
Rh1 Rh 0.099 0.250 0.405 1
```

**E_form (uncorrected)**: -0.505 eV per atom
**Offset from the most stable computed form**: 0.000 eV per atom
**VASP energy**: -10.70 eV/atom
**N(E_F)**: 2.927 states/eV per atom
**Crystal system**: orthorhombic

***

[7]
The following is a GGA-PBE calculation of an optimized crystal structure of CrHRh2Pb, from Alexandria.

Structure (CIF):
```
data_CrHRh2Pb
_space_group_name_H-M_alt 'P 4/m m m'
_space_group_IT_number 123
_space_group_name_Hall '-P 4 2'
_cell_length_a 4.131
_cell_length_b 4.131
_cell_length_c 3.961
_cell_angle_alpha 90.00
_cell_angle_beta 90.00
_cell_angle_gamma 90.00
loop_
_atom_site_label
_atom_site_type_symbol
_atom_site_fract_x
_atom_site_fract_y
_atom_site_fract_z
_atom_site_occupancy
Cr1 Cr 0.000 0.000 0.000 1
H1 H 0.000 0.000 0.500 1
Rh1 Rh 0.000 0.500 0.500 1
Pb1 Pb 0.500 0.500 0.000 1
```

**VASP energy**: -6.29 eV/atom
**N(E_F)**: 0.423 states/eV per atom
**Crystal system**: tetragonal

***

[8]
The following is a GGA-PBE calculation of an optimized crystal structure of Ca2PuInN4, from Alexandria.

Structure (CIF):
```
data_Ca2PuInN4
_space_group_name_H-M_alt 'P 1 2/m 1'
_space_group_IT_number 10
_cell_length_a 5.681
_cell_length_b 3.548
_cell_length_c 5.927
_cell_angle_alpha 90.00
_cell_angle_beta 105.67
_cell_angle_gamma 90.00
loop_
_space_group_symop_operation_xyz
'x,y,z'
'-x,-y,-z'
'-x,y,-z'
'x,-y,z'
loop_
_atom_site_label
_atom_site_type_symbol
_atom_site_fract_x
_atom_site_fract_y
_atom_site_fract_z
_atom_site_occupancy
Ca1 Ca 0.000 0.000 0.000 1
Ca2 Ca 0.500 0.500 0.000 1
Pu1 Pu 0.000 0.500 0.500 1
In1 In 0.500 0.000 0.500 1
N1 N 0.223 0.500 0.272 1
N2 N 0.245 0.000 0.728 1
```

**E_form (uncorrected)**: -0.789 eV per atom
**VASP energy**: -7.59 eV/atom
**N(E_F)**: 0.597 states/eV per atom
**Crystal system**: monoclinic

***

[9]
The following is a GGA-PBE calculation of an optimized crystal structure of Rb2Ga4Ag5, from Alexandria.

Structure (CIF):
```
data_Rb2Ga4Ag5
_space_group_name_H-M_alt 'C 1 2/m 1'
_space_group_IT_number 12
_cell_length_a 13.643
_cell_length_b 5.989
_cell_length_c 8.624
_cell_angle_alpha 90.00
_cell_angle_beta 127.44
_cell_angle_gamma 90.00
loop_
_space_group_symop_operation_xyz
'x,y,z'
'-x,-y,-z'
'-x,y,-z'
'x,-y,z'
'x+1/2,y+1/2,z'
'-x+1/2,-y+1/2,-z'
'-x+1/2,y+1/2,-z'
'x+1/2,-y+1/2,z'
loop_
_atom_site_label
_atom_site_type_symbol
_atom_site_fract_x
_atom_site_fract_y
_atom_site_fract_z
_atom_site_occupancy
Rb1 Rb 0.213 0.000 0.141 1
Ga1 Ga 0.114 0.000 0.667 1
Ga2 Ga 0.228 0.500 0.391 1
Ag1 Ag 0.000 0.500 0.000 1
Ag2 Ag 0.049 0.260 0.344 1
```

**Offset from the most stable computed form**: 0.044 eV per atom
**Formation enthalpy at 0 K**: 0.015 eV/atom
**VASP energy**: -2.56 eV/atom
**N(E_F)**: 0.326 states/eV per atom
**Crystal system**: monoclinic

***

[10]
The following is a GGA-PBE calculation of an optimized crystal structure of BeZn2Ru, from Alexandria.

Structure (CIF):
```
data_BeZn2Ru
_space_group_name_H-M_alt 'I m m 2'
_space_group_IT_number 44
_cell_length_a 3.171
_cell_length_b 3.993
_cell_length_c 8.014
_cell_angle_alpha 90.00
_cell_angle_beta 90.00
_cell_angle_gamma 90.00
loop_
_space_group_symop_operation_xyz
'x,y,z'
'-x,-y,z'
'-x,y,z'
'x,-y,z'
'x+1/2,y+1/2,z+1/2'
'-x+1/2,-y+1/2,z+1/2'
'-x+1/2,y+1/2,z+1/2'
'x+1/2,-y+1/2,z+1/2'
loop_
_atom_site_label
_atom_site_type_symbol
_atom_site_fract_x
_atom_site_fract_y
_atom_site_fract_z
_atom_site_occupancy
Be1 Be 0.000 0.000 0.000 1
Zn1 Zn 0.000 0.000 0.487 1
Zn2 Zn 0.000 0.500 0.258 1
Ru1 Ru 0.000 0.500 0.718 1
```

**Formation enthalpy at 0 K**: -0.057 eV/atom
**VASP energy**: -3.94 eV/atom
**N(E_F)**: 0.529 states/eV per atom
**Crystal system**: orthorhombic